# Cu5Os | Alexandria | PBE | optimized geometry
# Energy above the most stable polymorph in this dataset = 15 meV/atom
# DFT formation energy = 0.177 eV per atom
data_Cu5Os
_chemical_formula_sum 'Cu10 Os2'
_symmetry_space_group_name_H-M 'A m m 2'
_symmetry_Int_Tables_number 38
_symmetry_space_group_name_Hall 'A 2 -2'
_cell_length_a 4.3230
_cell_length_b 2.5389
_cell_length_c 13.6547
_cell_angle_alpha 90.00
_cell_angle_beta 90.00
_cell_angle_gamma 90.00
loop_
_atom_site_label
_atom_site_fract_x
_atom_site_fract_y
_atom_site_fract_z
Cu1 0.0000 0.0000 0.0000
Cu2 0.0000 0.0000 0.3323
Cu3 0.0000 0.0000 0.6641
Cu4 0.5000 0.0000 0.1062
Cu5 0.5000 0.0000 0.4446
Os1 0.5000 0.0000 0.7760

***

# CuOs | Alexandria | PBE | optimized geometry
# Energy above the most stable polymorph in this dataset = 125 meV/atom
# DFT formation energy = 0.327 eV per atom
data_CuOs
_chemical_formula_sum 'Cu6 Os6'
_symmetry_space_group_name_H-M 'C 1 m 1'
_symmetry_Int_Tables_number 8
_symmetry_space_group_name_Hall 'C -2y'
_cell_length_a 9.8655
_cell_length_b 2.6961
_cell_length_c 6.2624
_cell_angle_alpha 90.00
_cell_angle_beta 104.46
_cell_angle_gamma 90.00
loop_
_atom_site_label
_atom_site_fract_x
_atom_site_fract_y
_atom_site_fract_z
Cu1 0.0000 0.0000 0.0000
Cu2 0.0484 0.0000 0.6153
Cu3 0.1490 0.5000 0.3379
Os1 0.2262 0.5000 0.9482
Os2 0.3257 0.0000 0.6661
Os3 0.3722 0.0000 0.2771

***

What is the DFT formation energy in the first record? 0.177 eV per atom